# 1
The following is a GGA-PBE calculation of a relaxed structure of Nb3HgF, from Alexandria.

```
data_Nb3HgF
_symmetry_space_group_name_H-M 'P m -3 m'
_symmetry_Int_Tables_number 221
_symmetry_space_group_name_Hall '-P 4 2 3'
_cell_length_a 4.3762
_cell_length_b 4.3762
_cell_length_c 4.3762
_cell_angle_alpha 90.00
_cell_angle_beta 90.00
_cell_angle_gamma 90.00
loop_
_atom_site_label
_atom_site_type_symbol
_atom_site_fract_x
_atom_site_fract_y
_atom_site_fract_z
Nb1 Nb 0.0000 0.0000 0.5000
Hg1 Hg 0.5000 0.5000 0.5000
F1 F 0.0000 0.0000 0.0000
```

Calculated values
- Raw formation energy: 0.60 kcal/mol of atoms
- Crystal system: cubic
- Calculated density: 9.87 g/cm³
- Polymorph energy (0 for the lowest one): 0 meV/atom
- DFT total energy: -6.451 eV/atom

***

# 2
The following is a GGA-PBE calculation of a relaxed structure of BiBPt3, from Alexandria.

```
data_BiBPt3
_symmetry_space_group_name_H-M 'P -1'
_symmetry_Int_Tables_number 2
_cell_length_a 4.0946
_cell_length_b 5.6908
_cell_length_c 8.0837
_cell_angle_alpha 79.51
_cell_angle_beta 86.69
_cell_angle_gamma 70.90
loop_
_symmetry_equiv_pos_as_xyz
'x,y,z'
'-x,-y,-z'
loop_
_atom_site_label
_atom_site_type_symbol
_atom_site_fract_x
_atom_site_fract_y
_atom_site_fract_z
Bi1 Bi 0.1706 0.2393 0.3970
B1 B 0.3533 0.7629 0.0836
Pt1 Pt 0.2145 0.0937 0.8849
Pt2 Pt 0.2328 0.5894 0.8876
Pt3 Pt 0.3620 0.7009 0.3522
```

Calculated values
- Energy of formation from the pure elements: -0.209 eV per atom
- Crystal system: triclinic
- Calculated density: 15.28 g/cm³
- Polymorph energy (0 for the lowest one): 9 meV/atom
- DFT total energy: -5.945 eV/atom

***

# 3
The following is a GGA-PBE calculation of a relaxed structure of Lu3Pa, from Alexandria.

```
data_Lu3Pa
_symmetry_space_group_name_H-M 'I 4/m m m'
_symmetry_Int_Tables_number 139
_symmetry_space_group_name_Hall '-I 4 2'
_cell_length_a 4.8774
_cell_length_b 4.8774
_cell_length_c 9.4640
_cell_angle_alpha 90.00
_cell_angle_beta 90.00
_cell_angle_gamma 90.00
loop_
_atom_site_label
_atom_site_type_symbol
_atom_site_fract_x
_atom_site_fract_y
_atom_site_fract_z
Lu1 Lu 0.0000 0.0000 0.0000
Lu2 Lu 0.0000 0.5000 0.2500
Pa1 Pa 0.0000 0.0000 0.5000
```

Calculated values
- Energy of formation from the pure elements: 0.210 eV per atom
- Crystal system: tetragonal
- Calculated density: 11.15 g/cm³
- Polymorph energy (0 for the lowest one): 58 meV/atom
- DFT total energy: -5.555 eV/atom